# 1
## LaDy2AlPd4 (PBE)

Data for a geometry-optimized LaDy2AlPd4 structure.

- energy of formation from the pure elements (eV per atom) = -0.814
- DFT total energy (eV/atom) = -5.644
- total magnetization (μB per cell) = 0.00

Cell lengths 4.817, 4.817, 8.816 Å; angles 74.15, 74.15, 60.00 degrees
Fractional positions:
La: 0.000 0.000 0.000
Dy: 0.759 0.759 0.724
Dy: 0.241 0.241 0.276
Al: 0.500 0.500 0.500
Pd: 0.396 0.396 0.813
Pd: 0.870 0.870 0.389
Pd: 0.130 0.130 0.611
Pd: 0.604 0.604 0.187

# 2
## La2DyAl12Pd3 (PBE)

Data for a geometry-optimized La2DyAl12Pd3 structure.

- energy of formation from the pure elements (eV per atom) = -0.064
- DFT total energy (eV/atom) = -4.228
- total magnetization (μB per cell) = 0.00

Cell lengths 8.023, 8.023, 8.023 Å; angles 65.97, 65.97, 65.97 degrees
Fractional positions:
La: 0.579 0.579 0.579
La: 0.421 0.421 0.421
Dy: 0.000 0.000 0.000
Al: 0.269 0.269 0.857
Al: 0.827 0.827 0.467
Al: 0.467 0.827 0.827
Al: 0.857 0.269 0.269
Al: 0.827 0.467 0.827
Al: 0.269 0.857 0.269
Al: 0.731 0.731 0.143
Al: 0.173 0.173 0.533
Al: 0.533 0.173 0.173
Al: 0.143 0.731 0.731
Al: 0.173 0.533 0.173
Al: 0.731 0.143 0.731
Pd: 0.500 0.000 0.000
Pd: 0.000 0.500 0.000
Pd: 0.000 0.000 0.500

# 3
## LaPmDyAl (PBE)

Data for a geometry-optimized LaPmDyAl structure.

- energy of formation from the pure elements (eV per atom) = -0.174
- DFT total energy (eV/atom) = -4.680
- total magnetization (μB per cell) = 0.00
- ΔE to the lowest computed polymorph (meV per atom) = 0

Cell lengths 3.571, 3.571, 9.326 Å; angles 90.00, 90.00, 90.00 degrees
Fractional positions:
La: 0.000 0.000 0.078
Pm: 0.500 0.500 0.778
Dy: 0.500 0.500 0.364
Al: 0.000 0.000 0.565

# 4
## LaPmDyAl (PBE)

Data for a geometry-optimized LaPmDyAl structure.

- energy of formation from the pure elements (eV per atom) = -0.065
- DFT total energy (eV/atom) = -4.570
- total magnetization (μB per cell) = 0.00
- ΔE to the lowest computed polymorph (meV per atom) = 109

Cell lengths 5.485, 5.485, 5.485 Å; angles 60.00, 60.00, 60.00 degrees
Fractional positions:
Pm: 0.500 0.500 0.500
La: 0.000 0.000 0.000
Al: 0.250 0.250 0.250
Dy: 0.750 0.750 0.750

# 5
## LaPrDyAl (PBE)

Data for a geometry-optimized LaPrDyAl structure.

- energy of formation from the pure elements (eV per atom) = -0.063
- DFT total energy (eV/atom) = -4.576
- total magnetization (μB per cell) = 0.00

Cell lengths 5.515, 5.515, 5.515 Å; angles 60.00, 60.00, 60.00 degrees
Fractional positions:
Pr: 0.500 0.500 0.500
La: 0.000 0.000 0.000
Al: 0.250 0.250 0.250
Dy: 0.750 0.750 0.750

# 6
## LaDyAl2Si (PBE)

Data for a geometry-optimized LaDyAl2Si structure.

- E_form (uncorrected) (meV per atom) = -474
- DFT total energy (eV/atom) = -4.961
- total magnetization (μB per cell) = 0.00

Cell lengths 4.395, 4.453, 6.852 Å; angles 108.96, 108.71, 90.00 degrees
Fractional positions:
La: 0.439 0.439 0.878
Dy: 0.198 0.698 0.395
Al: 0.688 0.188 0.377
Al: 0.045 0.045 0.090
Si: 0.842 0.842 0.684

# 7
## LaSmDyAl (PBE)

Data for a geometry-optimized LaSmDyAl structure.

- energy of formation from the pure elements (eV per atom) = -0.063
- DFT total energy (eV/atom) = -4.561
- total magnetization (μB per cell) = 0.00
- ΔE to the lowest computed polymorph (meV per atom) = 113

Cell lengths 5.476, 5.476, 5.476 Å; angles 60.00, 60.00, 60.00 degrees
Fractional positions:
La: 0.500 0.500 0.500
Al: 0.250 0.250 0.250
Sm: 0.000 0.000 0.000
Dy: 0.750 0.750 0.750

# 8
## LaSmDyAl (PBE)

Data for a geometry-optimized LaSmDyAl structure.

- energy of formation from the pure elements (eV per atom) = -0.176
- DFT total energy (eV/atom) = -4.674
- total magnetization (μB per cell) = 0.00
- ΔE to the lowest computed polymorph (meV per atom) = 0

Cell lengths 3.568, 3.568, 9.288 Å; angles 90.00, 90.00, 90.00 degrees
Fractional positions:
La: 0.000 0.000 0.077
Sm: 0.500 0.500 0.778
Dy: 0.500 0.500 0.364
Al: 0.000 0.000 0.566